# 1
Sm5Dy2Sn4 | Alexandria | PBE-GGA | relaxed; symmetry = C2/m, No. 12; ΔE_f = -0.413 eV per atom
1.0
4.422 0.000 0.000
0.000 7.756 -0.950
-2.211 -3.695 10.908
Sm Dy Sn
5 2 4
direct
0.500 0.000 0.000
0.827 0.095 0.654
0.851 0.654 0.702
0.173 0.905 0.346
0.149 0.346 0.298
0.572 0.543 0.144
0.428 0.457 0.856
0.979 0.251 0.959
0.284 0.321 0.568
0.021 0.749 0.041
0.716 0.679 0.432


# 2
LiPmTmBe | Alexandria | PBE-GGA | relaxed; symmetry = F-43m, No. 216; ΔE_f = 0.146 eV per atom
1.0
5.016 0.000 0.000
2.508 4.344 0.000
2.508 1.448 4.095
Pm Tm Be Li
1 1 1 1
direct
0.500 0.500 0.500
0.000 0.000 0.000
0.750 0.750 0.750
0.250 0.250 0.250


# 3
Nb2VFe | Alexandria | PBE-GGA | relaxed; symmetry = P4/mmm, No. 123; excess energy over the best structure of this formula in the dataset = 0.010 eV per atom; ΔE_f = -0.040 eV per atom
1.0
3.120 0.000 0.000
0.000 4.388 0.000
0.000 0.000 4.388
V Nb Fe
1 2 1
direct
0.500 0.000 0.000
0.000 0.000 0.500
0.000 0.500 0.000
0.500 0.500 0.500


# 4
BaSn2Au8 | Alexandria | PBE-GGA | relaxed; symmetry = P4/mmm, No. 123; ΔE_f = -0.102 eV per atom
1.0
5.566 0.000 0.000
0.000 5.566 0.000
0.000 0.000 9.839
Sn Au Ba
2 8 1
direct
0.000 0.500 0.000
0.500 0.000 0.000
0.752 0.752 0.220
0.248 0.248 0.220
0.248 0.752 0.780
0.248 0.752 0.220
0.248 0.248 0.780
0.752 0.752 0.780
0.752 0.248 0.220
0.752 0.248 0.780
0.500 0.500 0.500


# 5
CePuThRe | Alexandria | PBE-GGA | relaxed; symmetry = F-43m, No. 216; ΔE_f = 0.162 eV per atom
1.0
-2.784 -3.268 -2.715
2.067 -4.337 -1.652
-1.423 -4.430 2.039
Pu Ce Re Th
1 1 1 1
direct
0.750 0.750 0.750
0.000 0.000 0.000
0.500 0.500 0.500
0.250 0.250 0.250


# 6
Cs2NaGeCl6 | Alexandria | PBE-GGA | relaxed; symmetry = Fm-3m, No. 225; energy relative to the elements, uncorrected = -1.477 eV per atom
1.0
-6.159 -4.302 -0.470
4.173 -6.119 1.341
-1.805 -4.619 5.664
Na Cl Ge Cs
1 6 1 2
direct
0.500 0.500 0.000
0.235 0.235 0.000
0.235 0.235 0.531
0.765 0.765 0.000
0.765 0.765 0.469
0.765 0.235 0.000
0.235 0.765 0.000
0.000 0.000 0.000
0.250 0.750 0.500
0.750 0.250 0.500


# 7
Y3In3Ir2 | Alexandria | PBE-GGA | relaxed; symmetry = Pnma, No. 62; ΔE_f = -0.581 eV per atom
1.0
-1.810 -0.829 5.373
7.221 -0.752 2.316
0.836 16.963 2.900
In Ir Y
12 8 12
direct
0.606 0.322 0.030
0.606 0.322 0.470
0.894 0.822 0.030
0.666 0.329 0.750
0.394 0.678 0.970
0.834 0.829 0.750
0.394 0.678 0.530
0.106 0.178 0.530
0.106 0.178 0.970
0.166 0.171 0.250
0.334 0.671 0.250
0.894 0.822 0.470
0.889 0.118 0.378
0.389 0.382 0.878
0.111 0.882 0.878
0.111 0.882 0.622
0.389 0.382 0.622
0.611 0.618 0.122
0.611 0.618 0.378
0.889 0.118 0.122
0.896 0.537 0.612
0.896 0.537 0.888
0.604 0.037 0.612
0.336 0.662 0.750
0.664 0.338 0.250
0.104 0.463 0.112
0.104 0.463 0.388
0.604 0.037 0.888
0.836 0.838 0.250
0.164 0.162 0.750
0.396 0.963 0.388
0.396 0.963 0.112


# 8
SmY5Er4 | Alexandria | PBE-GGA | relaxed; symmetry = I4, No. 79; ΔE_f = 0.308 eV per atom
1.0
6.309 0.000 0.000
3.155 7.204 0.000
3.155 0.000 7.204
Y Er Sm
5 4 1
direct
0.096 0.620 0.090
0.806 0.380 0.910
0.186 0.910 0.620
0.716 0.090 0.380
0.676 0.000 0.000
0.102 0.300 0.401
0.802 0.700 0.599
0.502 0.599 0.300
0.401 0.401 0.700
0.222 0.000 0.000


# 9
CaZn2Os | Alexandria | PBE-GGA | relaxed; symmetry = Cm, No. 8; ΔE_f = 0.273 eV per atom
1.0
5.353 -0.023 0.019
4.319 3.163 0.019
1.932 0.627 4.109
Ca Zn Os
1 2 1
direct
0.505 0.505 0.498
0.991 0.991 0.016
0.731 0.731 0.767
0.273 0.273 0.219


# 10
Sn4P2Au | Alexandria | PBE-GGA | relaxed; symmetry = P-1, No. 2; ΔE_f = -0.022 eV per atom
1.0
3.824 0.009 -0.013
1.902 7.073 3.519
-0.023 0.432 6.813
P Au Sn
2 1 4
direct
0.308 0.385 0.283
0.692 0.615 0.717
0.000 0.000 0.000
0.649 0.705 0.050
0.078 0.840 0.455
0.351 0.295 0.950
0.922 0.160 0.545


# 11
VHgP3 | Alexandria | PBE-GGA | relaxed; symmetry = Pm-3m, No. 221; excess energy over the best structure of this formula in the dataset = 0.000 eV per atom; ΔE_f = 0.315 eV per atom
1.0
-4.431 0.901 0.806
-1.199 -2.877 -3.373
-0.157 -3.465 3.011
V P Hg
1 3 1
direct
0.000 0.000 0.000
0.000 0.500 0.000
0.500 0.000 0.000
0.000 0.000 0.500
0.500 0.500 0.500


# 12
Zn3SiP | Alexandria | PBE-GGA | relaxed; symmetry = Pm-3m, No. 221; energy relative to the elements, uncorrected = 0.619 eV per atom; excess energy over the best structure of this formula in the dataset = 0.000 eV per atom
1.0
4.641 0.000 0.000
0.000 4.641 0.000
0.000 0.000 4.641
Zn Si P
3 1 1
direct
0.000 0.000 0.500
0.000 0.500 0.000
0.500 0.000 0.000
0.500 0.500 0.500
0.000 0.000 0.000


# 13
Ac2GaAgAu6 | Alexandria | PBE-GGA | relaxed; symmetry = P-1, No. 2; ΔE_f = -0.486 eV per atom
1.0
-1.378 -6.849 -0.343
6.540 -0.508 3.436
2.342 -2.082 6.705
Ga Au Ac Ag
1 6 2 1
direct
0.500 0.500 0.000
0.724 0.235 0.011
0.091 0.248 0.157
0.276 0.267 0.488
0.724 0.733 0.512
0.276 0.765 0.989
0.909 0.752 0.843
0.271 0.738 0.467
0.729 0.262 0.533
0.000 0.000 0.000


# 14
LiMn4Rh | Alexandria | PBE-GGA | relaxed; symmetry = F-43m, No. 216; ΔE_f = 0.205 eV per atom
1.0
2.011 -2.830 -3.097
-1.445 -4.403 -0.409
-2.340 -1.338 -3.792
Mn Li Rh
4 1 1
direct
0.880 0.373 0.373
0.373 0.373 0.373
0.373 0.373 0.880
0.373 0.880 0.373
0.000 0.000 0.000
0.750 0.750 0.750


# 15
Mg5TlGa4 | Alexandria | PBE-GGA | relaxed; symmetry = P4/mmm, No. 123; ΔE_f = -0.114 eV per atom
1.0
3.407 0.000 0.000
0.000 3.407 0.000
0.000 0.000 17.711
Tl Mg Ga
1 5 4
direct
0.000 0.000 0.000
0.500 0.500 0.500
0.500 0.500 0.689
0.500 0.500 0.121
0.500 0.500 0.879
0.500 0.500 0.311
0.000 0.000 0.407
0.000 0.000 0.215
0.000 0.000 0.593
0.000 0.000 0.785


# 16
YCu2Re | Alexandria | PBE-GGA | relaxed; symmetry = Imm2, No. 44; excess energy over the best structure of this formula in the dataset = 0.072 eV per atom; ΔE_f = 0.336 eV per atom
1.0
-5.402 0.212 -0.554
-2.616 -4.578 -1.316
3.114 2.715 3.531
Y Cu Re
1 2 1
direct
0.758 0.258 0.500
0.024 0.024 0.000
0.239 0.739 0.500
0.479 0.479 0.000


# 17
NdGaPdAu | Alexandria | PBE-GGA | relaxed; symmetry = F-43m, No. 216; ΔE_f = -0.618 eV per atom
1.0
4.885 0.000 0.000
2.443 4.231 0.000
2.443 1.410 3.989
Au Pd Nd Ga
1 1 1 1
direct
0.500 0.500 0.500
0.000 0.000 0.000
0.750 0.750 0.750
0.250 0.250 0.250


# 18
SrY2FeAs | Alexandria | PBE-GGA | relaxed; symmetry = P4/mmm, No. 123; ΔE_f = -0.070 eV per atom
1.0
5.327 0.000 0.000
0.000 4.639 0.000
0.000 0.000 5.327
As Sr Y Fe
1 1 2 1
direct
0.000 0.500 0.000
0.500 0.500 0.500
0.500 0.000 0.000
0.000 0.000 0.500
0.000 0.000 0.000


# 19
AcPmNd2Ho4 | Alexandria | PBE-GGA | relaxed; symmetry = Imma, No. 74; ΔE_f = 0.422 eV per atom
1.0
-8.905 3.498 1.346
-0.427 -3.744 8.897
9.326 5.242 -5.444
Ho Nd Pm Ac
8 4 2 2
direct
0.742 0.758 0.999
0.736 0.238 0.487
0.742 0.758 0.501
0.258 0.242 0.001
0.738 0.236 0.987
0.258 0.242 0.499
0.262 0.764 0.013
0.264 0.762 0.513
0.500 0.500 0.000
0.500 0.000 0.500
0.500 0.000 0.000
0.000 0.000 0.500
0.500 0.500 0.500
0.000 0.000 0.000
0.000 0.500 0.000
0.000 0.500 0.500


# 20
Ga5Cu | Alexandria | PBE-GGA | relaxed; symmetry = Cmmm, No. 65; ΔE_f = 0.028 eV per atom
1.0
2.802 0.000 0.000
0.000 4.736 0.000
0.000 -2.368 7.983
Ga Cu
5 1
direct
0.500 0.863 0.727
0.500 0.500 0.000
0.500 0.137 0.273
0.000 0.305 0.611
0.000 0.695 0.389
0.000 0.000 0.000


In order of appearance, total magnetization = 0.0; 0.0; 0.1; 0.0; 6.2; 0.0; 0.0; 0.0; 0.0; 0.0; 0.0; 0.0; 0.0; 0.0; 0.0; 0.0; 0.0; 0.0; 1.2; 0.0 Bohr magnetons per cell.